Record 1
First-principles (PBE) data for a geometry-optimized YTiAlBi2 structure, as listed in Alexandria via LeMat-Bulk.

POSCAR file:
```
YTiAlBi2
1.0
5.827 0.000 0.000
0.000 5.827 0.000
0.000 0.000 5.111
Y Ti Al Bi
1 1 1 2
Direct
0.000 0.000 0.000
0.000 0.000 0.500
0.500 0.500 0.500
0.000 0.500 0.000
0.500 0.000 0.000
```

Properties
Symmetry   No. 123
DFT formation energy   0.983 eV/atom
V   34.72 A^3/atom
Magnetization   0.00 μB/cell

***

Record 2
First-principles (PBE) data for a geometry-optimized YTi2AlBi structure, as listed in Alexandria via LeMat-Bulk.

POSCAR file:
```
YTi2AlBi
1.0
4.985 0.000 0.000
0.000 4.985 0.000
0.000 0.000 5.668
Y Ti Al Bi
1 2 1 1
Direct
0.000 0.000 0.000
0.000 0.500 0.000
0.500 0.000 0.000
0.500 0.500 0.500
0.000 0.000 0.500
```

Properties
Symmetry   No. 123
DFT formation energy   1.322 eV/atom
Energy above the most stable polymorph in this dataset   465 meV/atom
V   28.17 A^3/atom
Magnetization   0.00 μB/cell

***

Record 3
First-principles (PBE) data for a geometry-optimized YTi2AlBi structure, as listed in Alexandria via LeMat-Bulk.

POSCAR file:
```
YTi2AlBi
1.0
5.170 0.000 0.000
0.000 5.170 0.000
0.000 0.000 5.303
Y Ti Al Bi
1 2 1 1
Direct
0.000 0.000 0.000
0.000 0.500 0.500
0.500 0.000 0.500
0.500 0.500 0.000
0.500 0.500 0.500
```

Properties
Symmetry   No. 123
DFT formation energy   0.857 eV/atom
Energy above the most stable polymorph in this dataset   0 meV/atom
V   28.35 A^3/atom
Magnetization   1.61 μB/cell

***

Record 4
First-principles (PBE) data for a geometry-optimized TiAlZnBi2 structure, as listed in Alexandria via LeMat-Bulk.

POSCAR file:
```
TiAlZnBi2
1.0
5.395 0.000 0.000
0.000 5.395 0.000
0.000 0.000 5.056
Ti Al Zn Bi
1 1 1 2
Direct
0.000 0.000 0.000
0.000 0.000 0.500
0.500 0.500 0.000
0.000 0.500 0.500
0.500 0.000 0.500
```

Properties
Symmetry   No. 123
DFT formation energy   0.773 eV/atom
V   29.42 A^3/atom
Magnetization   1.42 μB/cell

***

Record 5
First-principles (PBE) data for a geometry-optimized Al2TlBi2 structure, as listed in Alexandria via LeMat-Bulk.

POSCAR file:
```
Al2TlBi2
1.0
-2.658 2.658 5.201
2.658 -2.658 5.201
2.658 2.658 -5.201
Al Tl Bi
2 1 2
Direct
0.124 0.124 0.000
0.876 0.876 0.000
0.500 0.500 0.000
0.250 0.750 0.500
0.750 0.250 0.500
```

Properties
Symmetry   No. 139
DFT formation energy   0.144 eV/atom
Energy above the most stable polymorph in this dataset   48 meV/atom
V   29.40 A^3/atom
Magnetization   0.00 μB/cell

***

Record 6
First-principles (PBE) data for a geometry-optimized AlTl12Bi6 structure, as listed in Alexandria via LeMat-Bulk.

POSCAR file:
```
AlTl12Bi6
1.0
5.953 3.437 5.023
-5.953 3.437 5.023
0.000 -6.874 5.023
Al Tl Bi
1 12 6
Direct
0.000 0.000 0.000
0.065 0.152 0.386
0.152 0.386 0.065
0.194 0.486 0.561
0.386 0.065 0.152
0.439 0.806 0.514
0.486 0.561 0.194
0.514 0.439 0.806
0.561 0.194 0.486
0.614 0.935 0.848
0.806 0.514 0.439
0.848 0.614 0.935
0.935 0.848 0.614
0.120 0.775 0.261
0.225 0.739 0.880
0.261 0.120 0.775
0.739 0.880 0.225
0.775 0.261 0.120
0.880 0.225 0.739
```

Properties
Symmetry   No. 148
DFT formation energy   0.037 eV/atom
V   32.45 A^3/atom
Magnetization   0.00 μB/cell

***

Record 7
First-principles (PBE) data for a geometry-optimized AlTlBi2 structure, as listed in Alexandria via LeMat-Bulk.

POSCAR file:
```
AlTlBi2
1.0
3.896 0.000 0.000
0.000 3.896 0.000
0.000 0.000 7.693
Al Tl Bi
1 1 2
Direct
0.000 0.000 0.000
0.000 0.000 0.500
0.500 0.500 0.205
0.500 0.500 0.795
```

Properties
Symmetry   No. 123
DFT formation energy   0.127 eV/atom
V   29.19 A^3/atom
Magnetization   0.00 μB/cell

***

Record 8
First-principles (PBE) data for a geometry-optimized AlTlBi2 structure, as listed in Alexandria via LeMat-Bulk.

POSCAR file:
```
AlTlBi2
1.0
2.127 1.228 7.790
-2.127 1.228 7.790
0.000 -2.456 7.790
Al Tl Bi
1 1 2
Direct
0.000 0.000 0.000
0.500 0.500 0.500
0.265 0.265 0.265
0.735 0.735 0.735
```

Properties
Symmetry   No. 166
DFT formation energy   0.136 eV/atom
V   30.52 A^3/atom
Magnetization   0.00 μB/cell